1.
Entry from Alexandria via LeMat-Bulk: a relaxed structure of Ac12In6Co (GGA-PBE).

Lattice parameters (Å, degrees): 13.2203 13.2203 14.7833 90.00 90.00 120.00
Space group R-3 (No. 148, hexagonal axes)
Symmetry-distinct sites (fractional):
Ac  0.0333  0.1927  0.3881
Ac  0.0365  0.8465  0.8846
In  0.0063  0.3965  0.2549
Co  0.0000  0.0000  0.0000

Computed properties:
Total moment (Bohr magnetons per cell): 0.00
Uncorrected energy (eV/atom): -4.02
D(E_F) (states/eV/cell): 67.0
Volume (Å³/cell): 2237.6


2.
Entry from Alexandria via LeMat-Bulk: a relaxed structure of AcIn5Co (GGA-PBE).

Lattice parameters (Å, degrees): 4.732 4.732 7.865 90.00 90.00 90.00
Space group P4/mmm (No. 123)
Symmetry-distinct sites (fractional):
Ac  0.000  0.000  0.000
In  0.000  0.500  0.317
In  0.500  0.500  0.000
Co  0.000  0.000  0.500

Computed properties:
Total moment (Bohr magnetons per cell): 0.00
Uncorrected energy (eV/atom): -3.77
D(E_F) (states/eV/cell): 3.0
Volume (Å³/cell): 176.1


3.
Entry from Alexandria via LeMat-Bulk: a relaxed structure of Ac6In3Co (GGA-PBE).

Lattice parameters (Å, degrees): 13.2653 13.2653 14.9497 90.00 90.00 120.00
Space group R-3c (No. 167, hexagonal axes)
Symmetry-distinct sites (fractional):
Ac  0.0328  0.1903  0.3882
In  0.0000  0.3895  0.2500
Co  0.0000  0.0000  0.0000

Computed properties:
Total moment (Bohr magnetons per cell): 0.00
Uncorrected energy (eV/atom): -4.19
D(E_F) (states/eV/cell): 70.5
Relative energy among the computed polymorphs (meV per atom): 35
Volume (Å³/cell): 2278.2


4.
Entry from Alexandria via LeMat-Bulk: a relaxed structure of Ac6InCo (GGA-PBE).

Lattice parameters (Å, degrees): 8.663 10.860 6.879 90.00 104.27 90.00
Space group C2/m (No. 12)
Symmetry-distinct sites (fractional):
Ac  0.109  0.187  0.284
Ac  0.215  0.500  0.112
In  0.000  0.500  0.500
Co  0.000  0.000  0.000

Computed properties:
Total moment (Bohr magnetons per cell): 0.00
Uncorrected energy (eV/atom): -4.35
D(E_F) (states/eV/cell): 19.7
Volume (Å³/cell): 627.2


5.
Entry from Alexandria via LeMat-Bulk: a relaxed structure of Ac3InCo3 (GGA-PBE).

Lattice parameters (Å, degrees): 10.5711 10.5711 3.9796 90.00 90.00 120.00
Space group P6_3/m (No. 176)
Symmetry-distinct sites (fractional):
Ac  0.0556  0.6859  0.2500
In  0.3333  0.6667  0.7500
Co  0.0198  0.8784  0.7500

Computed properties:
Total moment (Bohr magnetons per cell): 5.96
Uncorrected energy (eV/atom): -5.29
D(E_F) (states/eV/cell): 21.7
Volume (Å³/cell): 385.1


6.
Entry from Alexandria via LeMat-Bulk: a relaxed structure of Ac3La3In2Co (GGA-PBE).

Lattice parameters (Å, degrees): 8.6934 8.6934 4.5665 90.00 90.00 120.00
Space group P-62m (No. 189)
Symmetry-distinct sites (fractional):
Ac  0.0000  0.4079  0.0000
La  0.0000  0.7780  0.5000
In  0.3333  0.6667  0.5000
Co  0.0000  0.0000  0.0000

Computed properties:
Total moment (Bohr magnetons per cell): 0.00
Uncorrected energy (eV/atom): -4.63
D(E_F) (states/eV/cell): 11.3
Volume (Å³/cell): 298.9


7.
Entry from Alexandria via LeMat-Bulk: a relaxed structure of Ac2La4In2Co (GGA-PBE).

Lattice parameters (Å, degrees): 7.378 7.378 10.591 90.00 90.00 90.00
Space group I4/mmm (No. 139)
Symmetry-distinct sites (fractional):
Ac  0.000  0.500  0.250
La  0.243  0.243  0.000
In  0.000  0.000  0.244
Co  0.000  0.000  0.500

Computed properties:
Total moment (Bohr magnetons per cell): 0.00
Uncorrected energy (eV/atom): -4.71
D(E_F) (states/eV/cell): 23.1
Volume (Å³/cell): 576.6


8.
Entry from Alexandria via LeMat-Bulk: a relaxed structure of Ac6In2CoN (GGA-PBE).

Lattice parameters (Å, degrees): 5.459 5.459 10.987 90.00 90.00 90.00
Space group P4/mmm (No. 123)
Symmetry-distinct sites (fractional):
Ac  0.000  0.000  0.239
Ac  0.000  0.500  0.000
Ac  0.000  0.500  0.500
In  0.500  0.500  0.236
Co  0.000  0.000  0.500
N  0.000  0.000  0.000

Computed properties:
ΔE_f (raw) (eV per formula unit): -4.04
Total moment (Bohr magnetons per cell): 0.00
Uncorrected energy (eV/atom): -4.96
D(E_F) (states/eV/cell): 9.2
Volume (Å³/cell): 327.5


9.
Entry from Alexandria via LeMat-Bulk: a relaxed structure of Ac3NdInCo (GGA-PBE).

Lattice parameters (Å, degrees): 17.673 7.496 6.402 90.00 111.09 90.00
Space group C2/m (No. 12)
Symmetry-distinct sites (fractional):
Ac  0.115  0.248  0.114
Ac  0.186  0.500  0.686
Nd  0.000  0.232  0.500
In  0.190  0.000  0.689
Co  0.001  0.500  0.792

Computed properties:
Total moment (Bohr magnetons per cell): 0.00
Uncorrected energy (eV/atom): -4.65
D(E_F) (states/eV/cell): 22.6
Volume (Å³/cell): 791.3